A plane-wave DFT calculation with PBE-GGA was carried out for a geometry-optimized AcEuDyTh structure.

a b c (Å): 5.9434 5.9434 5.9434
angles (deg): 60.00 60.00 60.00
Fractional positions:
Ac1 0.0000 0.0000 0.0000
Eu1 0.2500 0.2500 0.2500
Dy1 0.5000 0.5000 0.5000
Th1 0.7500 0.7500 0.7500

Results
V = 148 Å³/f.u.
SG = F-43m
energy relative to the elements = 0.2617 eV/atom